# 1
{"formula": "LiYRh2", "functional": "PBE", "state": "optimized geometry", "cell": [[3.098, 0.000, 0.000], [0.000, 3.983, 0.000], [-1.542, 0.000, 5.391]], "species": ["Li", "Y", "Rh", "Rh"], "fractional_positions": [[0.000, 0.000, 0.000], [0.500, 0.000, 0.500], [0.167, 0.500, 0.782], [0.833, 0.500, 0.218]], "total_magnetization_mub_per_cell": 0.000, "delta_e_f_ev_per_atom": -0.370, "space_group": "No. 10", "mass_density_g_cm3": 7.53, "e_tot_ev_per_fu": -24.56}

# 2
{"formula": "RbCd3Pd", "functional": "PBE", "state": "optimized geometry", "cell": [[6.596, -6.157, 0.000], [6.596, 6.157, 0.000], [-0.060, 0.000, 3.078]], "species": ["Rb", "Rb", "Cd", "Cd", "Cd", "Cd", "Cd", "Cd", "Pd", "Pd"], "fractional_positions": [[0.240, 0.760, 0.000], [0.760, 0.240, 0.000], [0.103, 0.367, 0.737], [0.367, 0.103, 0.737], [0.398, 0.398, 0.270], [0.602, 0.602, 0.730], [0.633, 0.897, 0.263], [0.897, 0.633, 0.263], [0.093, 0.093, 0.255], [0.907, 0.907, 0.745]], "total_magnetization_mub_per_cell": 0.000, "delta_e_f_ev_per_atom": -0.037, "e_above_lowest_polymorph_mev_per_atom": 156.5, "space_group": "No. 12", "mass_density_g_cm3": 7.03, "e_tot_ev_per_fu": -9.09}

# 3
{"formula": "RbPa3Mn4N12", "functional": "PBE", "state": "optimized geometry", "cell": [[5.638, 3.255, 3.020], [-5.638, 3.255, 3.020], [0.000, -6.510, 3.020]], "species": ["Rb", "Pa", "Pa", "Pa", "Mn", "Mn", "Mn", "Mn", "N", "N", "N", "N", "N", "N", "N", "N", "N", "N", "N", "N"], "fractional_positions": [[0.000, 0.000, 0.000], [0.000, 0.557, 0.443], [0.443, 0.000, 0.557], [0.557, 0.443, 0.000], [0.055, 0.500, 0.945], [0.500, 0.500, 0.500], [0.500, 0.945, 0.055], [0.945, 0.055, 0.500], [0.025, 0.616, 0.770], [0.102, 0.898, 0.500], [0.230, 0.384, 0.975], [0.344, 0.656, 0.500], [0.384, 0.975, 0.230], [0.500, 0.102, 0.898], [0.500, 0.344, 0.656], [0.616, 0.770, 0.025], [0.656, 0.500, 0.344], [0.770, 0.025, 0.616], [0.898, 0.500, 0.102], [0.975, 0.230, 0.384]], "total_magnetization_mub_per_cell": 7.767, "space_group": "No. 155", "mass_density_g_cm3": 5.83, "e_tot_ev_per_fu": -174.04, "formation_energy_uncorrected_ev_per_fu": -8.000}

# 4
{"formula": "Tb3PmDy2As6", "functional": "PBE", "state": "optimized geometry", "cell": [[3.594, -6.223, 0.000], [3.594, 6.223, 0.000], [-2.394, 0.000, 6.776]], "species": ["Tb", "Tb", "Tb", "Pm", "Dy", "Dy", "As", "As", "As", "As", "As", "As"], "fractional_positions": [[0.000, 0.000, 0.000], [0.334, 0.666, 0.000], [0.666, 0.334, 0.000], [0.500, 0.500, 0.500], [0.167, 0.833, 0.500], [0.833, 0.167, 0.500], [0.079, 0.416, 0.249], [0.246, 0.246, 0.751], [0.416, 0.079, 0.249], [0.584, 0.921, 0.751], [0.754, 0.754, 0.249], [0.921, 0.584, 0.751]], "total_magnetization_mub_per_cell": 0.000, "delta_e_f_ev_per_atom": -1.534, "space_group": "No. 12", "mass_density_g_cm3": 7.65, "e_tot_ev_per_fu": -74.16}